No. 1
This record from the Alexandria database describes a relaxed structure of Tb2Dy5In4. The functional is PBE-GGA.

abc: 15.094 15.094 15.094
angles: 166.86 147.25 35.43
Sites, in units of the cell vectors:
Tb 0.096 0.096 0.000
Tb 0.904 0.904 0.000
Dy 0.000 0.500 0.500
Dy 0.006 0.202 0.804
Dy 0.398 0.202 0.196
Dy 0.602 0.798 0.804
Dy 0.994 0.798 0.196
In 0.302 0.302 0.000
In 0.321 0.000 0.321
In 0.679 0.000 0.679
In 0.698 0.698 0.000

symmetry: Immm, No. 71
polymorph energy (0 for the lowest one): 0.553 eV per atom
energy of formation from the pure elements: 0.306 eV/atom

=====

No. 2
This record from the Alexandria database describes a relaxed structure of Nb2Al2W. The functional is PBE-GGA.

abc: 6.859 6.859 3.519
angles: 90.00 90.00 90.00
Sites, in units of the cell vectors:
Nb 0.174 0.326 0.000
Nb 0.326 0.826 0.000
Nb 0.674 0.174 0.000
Nb 0.826 0.674 0.000
Al 0.128 0.628 0.500
Al 0.372 0.128 0.500
Al 0.628 0.872 0.500
Al 0.872 0.372 0.500
W 0.000 0.000 0.500
W 0.500 0.500 0.500

symmetry: P4/mbm, No. 127
energy of formation from the pure elements: -0.176 eV/atom

=====

No. 3
This record from the Alexandria database describes a relaxed structure of Re2GeI. The functional is PBE-GGA.

abc: 4.537 4.537 4.537
angles: 60.00 60.00 60.00
Sites, in units of the cell vectors:
Re 0.250 0.250 0.250
Re 0.750 0.750 0.750
Ge 0.000 0.000 0.000
I 0.500 0.500 0.500

symmetry: Fm-3m, No. 225
polymorph energy (0 for the lowest one): 0.000 eV per atom
ΔE_f (raw): 410.5 kJ/mol of formula units

=====

No. 4
This record from the Alexandria database describes a relaxed structure of Dy2Ga4Ag3. The functional is PBE-GGA.

abc: 8.416 8.416 7.728
angles: 90.00 90.00 139.40
Sites, in units of the cell vectors:
Dy 0.104 0.896 0.906
Dy 0.396 0.604 0.406
Dy 0.604 0.396 0.594
Dy 0.896 0.104 0.094
Ga 0.172 0.828 0.522
Ga 0.186 0.314 0.750
Ga 0.314 0.186 0.250
Ga 0.328 0.672 0.022
Ga 0.672 0.328 0.978
Ga 0.686 0.814 0.750
Ga 0.814 0.686 0.250
Ga 0.828 0.172 0.478
Ag 0.000 0.000 0.500
Ag 0.017 0.483 0.750
Ag 0.483 0.017 0.250
Ag 0.500 0.500 0.000
Ag 0.517 0.983 0.750
Ag 0.983 0.517 0.250

symmetry: Cmce, No. 64
energy of formation from the pure elements: -0.358 eV/atom

=====

The records above yield spin magnetization values of 0.00 0.00 0.00 0.00 μB/f.u., respectively.